Material: NaVSeO6
Method: DFT, PBE+U
State: relaxed

Results
Uncorrected energy: -106.9 eV per cell
SG: P-31c
Magnetic moment: 0.0 μB/f.u.

Cell lengths 4.971, 4.971, 10.497 Å; angles 90.00, 90.00, 120.00 degrees
Atoms (fractional coordinates):
1 Na 0.000 0.000 0.000
2 Na 0.000 0.000 0.500
3 V 0.333 0.667 0.250
4 V 0.667 0.333 0.750
5 Se 0.333 0.667 0.750
6 Se 0.667 0.333 0.250
7 O 0.011 0.388 0.651
8 O 0.011 0.623 0.849
9 O 0.377 0.388 0.849
10 O 0.377 0.989 0.651
11 O 0.388 0.011 0.151
12 O 0.388 0.377 0.349
13 O 0.612 0.623 0.651
14 O 0.612 0.989 0.849
15 O 0.623 0.011 0.349
16 O 0.623 0.612 0.151
17 O 0.989 0.377 0.151
18 O 0.989 0.612 0.349